Below is crystalline Mg3Zn2AgRh3 at its relaxed geometry, with properties calculated at the PBE level. Values from VASP.

Quantum ESPRESSO input file:
```
&SYSTEM
  ibrav = 0, nat = 9, ntyp = 4
/
ATOMIC_SPECIES
Mg 24.30 Mg.upf
Zn 65.41 Zn.upf
Ag 107.87 Ag.upf
Rh 102.91 Rh.upf
CELL_PARAMETERS angstrom
-0.249 0.923 -2.818
-7.276 0.763 0.893
4.503 5.650 1.454
ATOMIC_POSITIONS angstrom
Mg -5.227 0.997 -0.782
Mg 3.034 4.424 -0.389
Mg -0.953 2.377 -0.708
Zn -3.474 2.854 -0.329
Zn 0.452 4.483 -0.142
Ag 0.000 0.000 0.000
Rh -1.712 3.961 1.450
Rh 1.722 2.160 0.556
Rh -2.782 0.292 0.341
```

Properties
The raw total energy comes out at -35.05 eV per cell. Its density of states at the Fermi level is 3.4 states/eV/f.u. Its symmetry is P-62m, No. 189. The value obtained for the size of the total moment is 0.00 μB/f.u.